# Na2LaAu2 GGA-PBE relaxed
# offset from the most stable computed form = 0.0895 eV per atom
# DFT formation energy = -233 meV per atom
# total moment = 0.0 μB/f.u.
data_Na2LaAu2
_space_group_name_H-M_alt 'I 4/m m m'
_space_group_IT_number 139
_space_group_name_Hall '-I 4 2'
_cell_length_a 5.203
_cell_length_b 5.203
_cell_length_c 9.249
_cell_angle_alpha 90.00
_cell_angle_beta 90.00
_cell_angle_gamma 90.00
loop_
_atom_site_label
_atom_site_fract_x
_atom_site_fract_y
_atom_site_fract_z
Na1 0.000 0.000 0.136
La1 0.000 0.000 0.500
Au1 0.000 0.500 0.250

# KTaCu3 GGA-PBE relaxed
# offset from the most stable computed form = 1.0389 eV per atom
# DFT formation energy = 2080 meV per atom
# total moment = 1.8 μB/f.u.
data_KTaCu3
_space_group_name_H-M_alt 'P m -3 m'
_space_group_IT_number 221
_space_group_name_Hall '-P 4 2 3'
_cell_length_a 4.635
_cell_length_b 4.635
_cell_length_c 4.635
_cell_angle_alpha 90.00
_cell_angle_beta 90.00
_cell_angle_gamma 90.00
loop_
_atom_site_label
_atom_site_fract_x
_atom_site_fract_y
_atom_site_fract_z
K1 0.000 0.000 0.000
Ta1 0.500 0.500 0.500
Cu1 0.000 0.000 0.500

# TaN GGA-PBE relaxed
# total moment = 0.0 μB/f.u.
# raw formation energy = 0.25 eV/f.u.
data_TaN
_space_group_name_H-M_alt 'P 6/m m m'
_space_group_IT_number 191
_space_group_name_Hall '-P 6 2'
_cell_length_a 5.3188
_cell_length_b 5.3188
_cell_length_c 3.1734
_cell_angle_alpha 90.00
_cell_angle_beta 90.00
_cell_angle_gamma 120.00
loop_
_atom_site_label
_atom_site_fract_x
_atom_site_fract_y
_atom_site_fract_z
Ta1 0.0000 0.5000 0.0000
N1 0.0000 0.0000 0.0000
N2 0.3333 0.6667 0.5000

# MnV4 GGA-PBE relaxed
# offset from the most stable computed form = 0.1144 eV per atom
# DFT formation energy = 272 meV per atom
# total moment = 0.0 μB/f.u.
data_MnV4
_space_group_name_H-M_alt 'P -4 21 c'
_space_group_IT_number 114
_cell_length_a 4.863
_cell_length_b 4.863
_cell_length_c 5.735
_cell_angle_alpha 90.00
_cell_angle_beta 90.00
_cell_angle_gamma 90.00
loop_
_space_group_symop_operation_xyz
'x,y,z'
'y,-x,-z'
'-x,-y,z'
'-y,x,-z'
'x+1/2,-y+1/2,-z+1/2'
'y+1/2,x+1/2,z+1/2'
'-x+1/2,y+1/2,-z+1/2'
'-y+1/2,-x+1/2,z+1/2'
loop_
_atom_site_label
_atom_site_fract_x
_atom_site_fract_y
_atom_site_fract_z
Mn1 0.000 0.000 0.000
V1 0.108 0.269 0.345

# RbLiUI6 GGA-PBE relaxed
# total moment = 2.0 μB/f.u.
# raw formation energy = -9.52 eV/f.u.
data_RbLiUI6
_space_group_name_H-M_alt 'P -3 1 c'
_space_group_IT_number 163
_space_group_name_Hall '-P 3 2c'
_cell_length_a 7.8094
_cell_length_b 7.8094
_cell_length_c 16.5707
_cell_angle_alpha 90.00
_cell_angle_beta 90.00
_cell_angle_gamma 120.00
loop_
_atom_site_label
_atom_site_fract_x
_atom_site_fract_y
_atom_site_fract_z
Rb1 0.0000 0.0000 0.0000
Li1 0.3333 0.6667 0.2500
U1 0.3333 0.6667 0.7500
I1 0.0014 0.3667 0.6451

# Cs4K4Pt GGA-PBE relaxed
# DFT formation energy = 15 meV per atom
# total moment = 0.0 μB/f.u.
data_Cs4K4Pt
_space_group_name_H-M_alt 'P 42/n'
_space_group_IT_number 86
_cell_length_a 12.189
_cell_length_b 12.189
_cell_length_c 8.939
_cell_angle_alpha 90.00
_cell_angle_beta 90.00
_cell_angle_gamma 90.00
loop_
_space_group_symop_operation_xyz
'x,y,z'
'-x,-y,-z'
'-y,x+1/2,z+1/2'
'y,-x+1/2,-z+1/2'
'-x+1/2,-y+1/2,z'
'x+1/2,y+1/2,-z'
'y+1/2,-x,z+1/2'
'-y+1/2,x,-z+1/2'
loop_
_atom_site_label
_atom_site_fract_x
_atom_site_fract_y
_atom_site_fract_z
Cs1 0.028 0.754 0.126
K1 0.081 0.246 0.442
Pt1 0.250 0.250 0.750

# DyCo4B4 GGA-PBE relaxed
# offset from the most stable computed form = 0.0101 eV per atom
# DFT formation energy = -506 meV per atom
# total moment = 0.0 μB/f.u.
data_DyCo4B4
_space_group_name_H-M_alt 'P 42/n m c'
_space_group_IT_number 137
_cell_length_a 5.005
_cell_length_b 5.005
_cell_length_c 6.977
_cell_angle_alpha 90.00
_cell_angle_beta 90.00
_cell_angle_gamma 90.00
loop_
_space_group_symop_operation_xyz
'x,y,z'
'-x,-y,-z'
'-y+1/2,x,z+1/2'
'y+1/2,-x,-z+1/2'
'-x+1/2,-y+1/2,z'
'x+1/2,y+1/2,-z'
'y,-x+1/2,z+1/2'
'-y,x+1/2,-z+1/2'
'x+1/2,-y,-z'
'-x+1/2,y,z'
'-y,-x,-z+1/2'
'y,x,z+1/2'
'-x,y+1/2,-z'
'x,-y+1/2,z'
'y+1/2,x+1/2,-z+1/2'
'-y+1/2,-x+1/2,z+1/2'
loop_
_atom_site_label
_atom_site_fract_x
_atom_site_fract_y
_atom_site_fract_z
Dy1 0.250 0.750 0.250
Co1 0.004 0.750 0.614
B1 0.075 0.250 0.090

# Li9Ga4Au11 GGA-PBE relaxed
# DFT formation energy = -448 meV per atom
# total moment = 0.0 μB/f.u.
data_Li9Ga4Au11
_space_group_name_H-M_alt 'C m m m'
_space_group_IT_number 65
_space_group_name_Hall '-C 2 2'
_cell_length_a 13.093
_cell_length_b 19.348
_cell_length_c 3.123
_cell_angle_alpha 90.00
_cell_angle_beta 90.00
_cell_angle_gamma 90.00
loop_
_atom_site_label
_atom_site_fract_x
_atom_site_fract_y
_atom_site_fract_z
Li1 0.000 0.000 0.000
Li2 0.112 0.235 0.000
Li3 0.115 0.415 0.000
Ga1 0.162 0.097 0.000
Au1 0.000 0.125 0.500
Au2 0.000 0.324 0.500
Au3 0.000 0.500 0.500
Au4 0.222 0.323 0.500
Au5 0.249 0.500 0.500